Record 1
VASP calculation (SCAN) on CuAg2Ir at its PBEsol-relaxed geometry.

**Polymorph energy (0 for the lowest one)**: 2.74 kcal/mol of atoms
**Calculated formation energy**: 434.1 meV/atom
**DOS at the Fermi energy**: 0.6007 states/eV per atom
**DFT total energy**: -36.82 eV/atom
**V**: 59 Å³ per cell

Lattice parameters (Å, degrees): 2.793 4.606 4.606 90.00 90.00 90.00
Element x y z (fractional)
Cu (0.500, 0.500, 0.500)
Ag (0.000, 0.500, 0.000)
Ag (0.000, 0.000, 0.500)
Ir (0.500, 0.000, 0.000)

Record 2
VASP calculation (SCAN) on YHoIn2 at its PBEsol-relaxed geometry.

**Calculated formation energy**: -640.2 meV/atom
**DOS at the Fermi energy**: 0.4467 states/eV per atom
**DFT total energy**: -36.54 eV/atom
**V**: 100 Å³ per cell

Lattice parameters (Å, degrees): 5.215 5.215 5.215 60.00 60.00 60.00
Element x y z (fractional)
In (0.750, 0.750, 0.750)
In (0.250, 0.250, 0.250)
Y (0.000, 0.000, 0.000)
Ho (0.500, 0.500, 0.500)

Record 3
VASP calculation (SCAN) on Y3Ru2 at its PBEsol-relaxed geometry.

**Polymorph energy (0 for the lowest one)**: 1.08 kcal/mol of atoms
**Calculated formation energy**: -293.8 meV/atom
**DOS at the Fermi energy**: 0.6254 states/eV per atom
**DFT total energy**: -30.93 eV/atom
**V**: 112 Å³ per cell

Lattice parameters (Å, degrees): 4.750 4.750 5.728 90.00 90.00 120.00
Element x y z (fractional)
Ru (0.667, 0.333, 0.156)
Ru (0.333, 0.667, 0.844)
Y (0.333, 0.667, 0.340)
Y (0.667, 0.333, 0.660)
Y (0.000, 0.000, 0.000)

Record 4
VASP calculation (SCAN) on InCoMo2 at its PBEsol-relaxed geometry.

**Calculated formation energy**: 517.6 meV/atom
**DOS at the Fermi energy**: 0.8279 states/eV per atom
**DFT total energy**: -29.60 eV/atom
**V**: 61 Å³ per cell

Lattice parameters (Å, degrees): 2.799 2.799 9.120 81.17 81.17 60.00
Each line ends with the local moment (μB).
Element x y z (fractional)
In (0.000, 0.000, 0.000)  0.01
Co (0.500, 0.500, 0.500)  1.57
Mo (0.241, 0.241, 0.276)  -0.01
Mo (0.759, 0.759, 0.724)  -0.01

Record 5
VASP calculation (SCAN) on InAg4Pb at its PBEsol-relaxed geometry.

**Calculated formation energy**: 71.0 meV/atom
**DOS at the Fermi energy**: 0.4097 states/eV per atom
**DFT total energy**: -39.03 eV/atom
**V**: 119 Å³ per cell

Lattice parameters (Å, degrees): 5.525 5.525 5.525 60.00 60.00 60.00
Element x y z (fractional)
Ag (0.375, 0.375, 0.375)
Ag (0.874, 0.375, 0.375)
Ag (0.375, 0.375, 0.874)
Ag (0.375, 0.874, 0.375)
Pb (0.000, 0.000, 0.000)
In (0.750, 0.750, 0.750)

Record 6
VASP calculation (SCAN) on FeSi2Os at its PBEsol-relaxed geometry.

**DOS at the Fermi energy**: 0.6023 states/eV per atom
**DFT total energy**: -27.47 eV/atom
**Formation energy (no corrections)**: 0.04 eV per atom
**V**: 49 Å³ per cell

Lattice parameters (Å, degrees): 2.749 3.702 4.856 90.00 90.16 90.00
Element x y z (fractional)
Fe (0.500, 0.500, 0.000)
Si (0.509, 0.000, 0.749)
Si (0.491, 0.000, 0.251)
Os (0.000, 0.500, 0.500)

Record 7
VASP calculation (SCAN) on MnWAu2 at its PBEsol-relaxed geometry.

**Polymorph energy (0 for the lowest one)**: 0.00 kcal/mol of atoms
**Calculated formation energy**: 105.3 meV/atom
**DOS at the Fermi energy**: 0.5025 states/eV per atom
**DFT total energy**: -56.46 eV/atom
**V**: 62 Å³ per cell

Lattice parameters (Å, degrees): 2.792 4.773 4.932 99.63 90.00 107.01
Each line ends with the local moment (μB).
Element x y z (fractional)
W (0.243, 0.487, 0.744)  -0.48
Au (0.755, 0.511, 0.259)  -0.01
Au (0.996, 0.992, 0.989)  -0.02
Mn (0.505, 0.010, 0.509)  3.66

Record 8
VASP calculation (SCAN) on Ti6Al16Pt7 at its PBEsol-relaxed geometry.

**Calculated formation energy**: -1027.3 meV/atom
**DOS at the Fermi energy**: 0.3193 states/eV per atom
**DFT total energy**: -25.56 eV/atom
**V**: 459 Å³ per cell

Lattice parameters (Å, degrees): 8.659 8.659 8.659 60.00 60.00 60.00
Element x y z (fractional)
Al (0.620, 0.139, 0.620)
Al (0.139, 0.620, 0.620)
Al (0.380, 0.861, 0.380)
Al (0.160, 0.160, 0.521)
Al (0.521, 0.160, 0.160)
Al (0.840, 0.840, 0.840)
Al (0.160, 0.521, 0.160)
Al (0.861, 0.380, 0.380)
Al (0.620, 0.620, 0.620)
Al (0.380, 0.380, 0.380)
Al (0.160, 0.160, 0.160)
Al (0.479, 0.840, 0.840)
Al (0.840, 0.479, 0.840)
Al (0.840, 0.840, 0.479)
Al (0.380, 0.380, 0.861)
Al (0.620, 0.620, 0.139)
Ti (0.827, 0.827, 0.173)
Ti (0.827, 0.173, 0.173)
Ti (0.173, 0.827, 0.827)
Ti (0.173, 0.173, 0.827)
Ti (0.827, 0.173, 0.827)
Ti (0.173, 0.827, 0.173)
Pt (0.500, 0.000, 0.500)
Pt (0.500, 0.000, 0.000)
Pt (0.500, 0.500, 0.000)
Pt (0.000, 0.000, 0.500)
Pt (0.000, 0.500, 0.500)
Pt (0.000, 0.500, 0.000)
Pt (0.500, 0.500, 0.500)